Density functional theory data (PBE) for a relaxed Na7Tl2Hg crystal.

Cell and atoms, written as POSCAR:
```
Na7Tl2Hg
1.0
5.400 0.000 0.000
-2.700 4.676 0.000
0.000 0.000 12.764
Na Hg Tl
7 1 2
Direct
0.000 0.000 0.697
0.000 0.000 0.253
0.333 0.667 0.445
0.667 0.333 0.108
0.667 0.333 0.853
0.667 0.333 0.594
0.333 0.667 0.010
0.000 0.000 0.962
0.333 0.667 0.745
0.667 0.333 0.350
```

Results
SG: P3m1 (156)
V: 322 Å³/cell
Crystal system: trigonal
DFT formation energy: -0.05 eV/atom

=====

Density functional theory data (PBE) for a relaxed Zr4Zn3In2 crystal.

Cell and atoms, written as POSCAR:
```
Zr4Zn3In2
1.0
4.538 0.001 0.001
2.268 4.764 1.156
-0.002 1.815 8.738
In Zr Zn
2 4 3
Direct
0.299 0.402 0.751
0.701 0.598 0.249
0.343 0.313 0.113
0.657 0.687 0.887
0.956 0.088 0.654
0.044 0.912 0.346
0.637 0.726 0.560
0.363 0.274 0.440
0.000 0.000 0.000
```

Results
SG: C2/m (12)
V: 179 Å³/cell
Crystal system: monoclinic
DFT formation energy: -0.20 eV/atom

=====

Density functional theory data (PBE) for a relaxed LaZnCu3Ni crystal.

Cell and atoms, written as POSCAR:
```
LaZnCu3Ni
1.0
5.036 0.000 0.000
0.000 5.232 0.000
0.000 -2.616 7.652
La Cu Ni Zn
2 6 2 2
Direct
0.750 0.310 0.619
0.250 0.690 0.381
0.000 0.736 0.000
0.500 0.736 0.000
0.750 0.886 0.772
0.500 0.264 0.000
0.250 0.114 0.228
0.000 0.264 0.000
0.250 0.380 0.761
0.750 0.620 0.239
0.750 0.113 0.226
0.250 0.887 0.774
```

Results
SG: Cmcm (63)
V: 202 Å³/cell
Crystal system: orthorhombic
DFT formation energy: -0.08 eV/atom

=====

> Which of these has the highest V?

Na7Tl2Hg